Entry 1:
DFT (PBE) results for an optimized crystal structure of HoHgBi.

- spin magnetization (μB/f.u.) = 0.00
- ΔE to the lowest computed polymorph (meV per atom) = 7
- final energy (eV per cell) = -9.98
- calculated volume (Å³/cell) = 97.6
- theoretical density (Mg/m³) = 9.8

a b c (Å): 5.1684 5.1684 5.1684
angles (deg): 60.00 60.00 60.00
Sites, in units of the cell vectors:
Ho 0.2500 0.2500 0.2500
Bi 0.0000 0.0000 0.0000
Hg 0.5000 0.5000 0.5000



Entry 2:
DFT (PBE) results for an optimized crystal structure of ThCdCoH6.

- spin magnetization (μB/f.u.) = 0.00
- final energy (eV per cell) = -36.45
- calculated volume (Å³/cell) = 80.9
- theoretical density (Mg/m³) = 8.4

a b c (Å): 4.5886 4.5887 4.4339
angles (deg): 90.00 90.00 60.00
Sites, in units of the cell vectors:
Th 0.0000 0.0000 0.0000
Cd 0.6666 0.6667 0.5000
Co 0.3333 0.3334 0.5000
H 0.0557 0.4722 0.2128
H 0.4722 0.0558 0.7872
H 0.4720 0.4722 0.7872
H 0.0557 0.4721 0.7872
H 0.4722 0.4721 0.2128
H 0.4720 0.0558 0.2128



Entry 3:
DFT (PBE) results for an optimized crystal structure of PaZnBO6.

- spin magnetization (μB/f.u.) = 0.00
- ΔE_f (raw) (meV/atom) = -1779
- final energy (eV per cell) = -63.21
- calculated volume (Å³/cell) = 95.0
- theoretical density (Mg/m³) = 7.0

a b c (Å): 4.6785 4.8423 4.8423
angles (deg): 120.00 90.00 90.00
Sites, in units of the cell vectors:
Pa 0.0000 0.3333 0.6667
Zn 0.5000 0.6667 0.3333
B 0.5000 0.0000 0.0000
O 0.7150 0.7164 0.7153
O 0.7150 0.2847 0.0010
O 0.7150 0.9990 0.2836
O 0.2850 0.2847 0.2836
O 0.2850 0.7164 0.0010
O 0.2850 0.9990 0.7153



Entry 4:
DFT (PBE) results for an optimized crystal structure of V2Co2P.

- spin magnetization (μB/f.u.) = 1.65
- final energy (eV per cell) = -77.87
- calculated volume (Å³/cell) = 122.4
- theoretical density (Mg/m³) = 6.8

a b c (Å): 5.5618 5.5618 3.9583
angles (deg): 90.00 90.00 90.00
Last column: magnetic moment on the atom in μB.
Sites, in units of the cell vectors:
P 0.0000 0.0000 0.0000  -0.02
P 0.5000 0.5000 0.0000  -0.02
Co 0.3526 0.8526 0.0000  0.09
Co 0.8526 0.6474 0.0000  0.09
Co 0.6474 0.1474 0.0000  0.09
Co 0.1474 0.3526 0.0000  0.09
V 0.1617 0.6617 0.5000  0.67
V 0.6617 0.8383 0.5000  0.67
V 0.8383 0.3383 0.5000  0.67
V 0.3383 0.1617 0.5000  0.67



Entry 5:
DFT (PBE) results for an optimized crystal structure of UFe2Os.

- spin magnetization (μB/f.u.) = 0.00
- ΔE to the lowest computed polymorph (meV per atom) = 217
- final energy (eV per cell) = -38.81
- calculated volume (Å³/cell) = 58.1
- theoretical density (Mg/m³) = 15.4

a b c (Å): 4.2203 4.2203 4.4874
angles (deg): 61.95 61.95 60.00
Sites, in units of the cell vectors:
Os 0.5000 0.5000 0.5000
U 0.0000 0.0000 0.0000
Fe 0.7194 0.7194 0.8418
Fe 0.2806 0.2806 0.1582



Entry 6:
DFT (PBE) results for an optimized crystal structure of Ac5LaSm2.

- spin magnetization (μB/f.u.) = 0.00
- final energy (eV per cell) = -69.38
- calculated volume (Å³/cell) = 655.5
- theoretical density (Mg/m³) = 8.0

a b c (Å): 5.4984 7.7210 15.4398
angles (deg): 90.00 90.00 90.00
Sites, in units of the cell vectors:
Ac 0.0000 0.0000 0.0000
Ac 0.0000 0.5000 0.5000
Ac 0.0000 0.5047 0.7518
Ac 0.0000 0.4953 0.2482
Ac 0.0000 0.9953 0.2518
Ac 0.0000 0.0047 0.7482
Ac 0.5000 0.2553 0.8771
Ac 0.5000 0.7447 0.1229
Ac 0.5000 0.2447 0.3771
Ac 0.5000 0.7553 0.6229
La 0.0000 0.0000 0.5000
La 0.0000 0.5000 0.0000
Sm 0.5000 0.2524 0.6243
Sm 0.5000 0.7476 0.3757
Sm 0.5000 0.2476 0.1243
Sm 0.5000 0.7524 0.8757



Entry 7:
DFT (PBE) results for an optimized crystal structure of CePa3Tl4O12.

- spin magnetization (μB/f.u.) = 0.00
- ΔE_f (raw) (meV/atom) = -2580
- final energy (eV per cell) = -154.99
- calculated volume (Å³/cell) = 344.8
- theoretical density (Mg/m³) = 8.9

a b c (Å): 7.6515 7.6515 7.6515
angles (deg): 109.47 109.47 109.47
Sites, in units of the cell vectors:
Ce 0.0000 0.0000 0.0000
Pa 0.5000 0.0000 0.5000
Pa 0.5000 0.5000 0.0000
Pa 0.0000 0.5000 0.5000
Tl 0.5000 0.5000 0.5000
Tl 0.0000 0.0000 0.5000
Tl 0.5000 0.0000 0.0000
Tl 0.0000 0.5000 0.0000
O 0.2500 0.5000 0.7500
O 0.7433 0.0000 0.7433
O 0.2567 0.0000 0.2567
O 0.7500 0.5000 0.2500
O 0.7433 0.7433 0.0000
O 0.2567 0.2567 0.0000
O 0.7500 0.2500 0.5000
O 0.2500 0.7500 0.5000
O 0.5000 0.2500 0.7500
O 0.0000 0.7433 0.7433
O 0.5000 0.7500 0.2500
O 0.0000 0.2567 0.2567



Entry 8:
DFT (PBE) results for an optimized crystal structure of Sr3SnPb2.

- spin magnetization (μB/f.u.) = 0.00
- final energy (eV per cell) = -77.93
- calculated volume (Å³/cell) = 896.4
- theoretical density (Mg/m³) = 5.9

a b c (Å): 5.0346 13.2494 13.4379
angles (deg): 90.00 90.00 90.00
Sites, in units of the cell vectors:
Sr 0.2500 0.3890 0.0636
Sr 0.7500 0.6110 0.9364
Sr 0.7500 0.8890 0.4364
Sr 0.2500 0.1110 0.5636
Sr 0.2500 0.6957 0.2036
Sr 0.7500 0.3043 0.7964
Sr 0.7500 0.1957 0.2964
Sr 0.2500 0.8043 0.7036
Sr 0.2500 0.4457 0.3800
Sr 0.7500 0.5543 0.6200
Sr 0.7500 0.9457 0.1200
Sr 0.2500 0.0543 0.8800
Sn 0.2500 0.1535 0.1453
Sn 0.7500 0.8465 0.8547
Sn 0.7500 0.6535 0.3547
Sn 0.2500 0.3465 0.6453
Pb 0.2500 0.6876 0.4828
Pb 0.7500 0.3124 0.5172
Pb 0.7500 0.1876 0.0172
Pb 0.2500 0.8124 0.9828
Pb 0.2500 0.9887 0.3008
Pb 0.7500 0.0113 0.6992
Pb 0.7500 0.4887 0.1992
Pb 0.2500 0.5113 0.8008